Here is a geometry-optimized Y2TaTc structure from Alexandria via LeMat-Bulk. Energies are from GGA-PBE.

a = 3.361 Å, b = 3.361 Å, c = 7.800 Å
α = 90.00°, β = 90.00°, γ = 90.00°
Positions (direct):
Y: 0.000 0.000 0.222
Y: 0.000 0.000 0.778
Ta: 0.500 0.500 0.500
Tc: 0.500 0.500 0.000

Results
Crystal system ... tetragonal
Space-group type ... P4/mmm (123)



Here is a geometry-optimized Y2TaTc structure from Alexandria via LeMat-Bulk. Energies are from GGA-PBE.

a = 3.321 Å, b = 3.321 Å, c = 8.441 Å
α = 90.00°, β = 90.00°, γ = 90.00°
Positions (direct):
Y: 0.000 0.000 0.000
Y: 0.500 0.500 0.358
Ta: 0.000 0.000 0.617
Tc: 0.500 0.500 0.775

Results
Crystal system ... tetragonal
Space-group type ... P4mm (99)



Formation enthalpy at 0 K, respectively: 0.402 -0.037 eV per atom.